A plane-wave DFT calculation with GGA-PBEsol was carried out for a relaxed BeSiPt2 crystal.

Cell: 2.8330 2.8330 22.5370 Å, 90.00 90.00 120.00°
Space group R-3m (No. 166, hexagonal axes)
Symmetry-distinct sites (fractional):
Be: 0.0000 0.0000 0.0000
Si: 0.0000 0.0000 0.5000
Pt: 0.0000 0.0000 0.2528

DOS(E_F) ... 3.3 states/eV/cell
Crystal system ... trigonal
Formation energy without anion corrections ... -0.435 eV/atom



A plane-wave DFT calculation with GGA-PBEsol was carried out for a relaxed BAs2SeN crystal.

Cell: 4.2670 4.2670 4.4014 Å, 90.00 90.00 90.00°
Space group P4/mmm (No. 123)
Symmetry-distinct sites (fractional):
B: 0.0000 0.0000 0.0000
As: 0.0000 0.5000 0.0000
Se: 0.0000 0.0000 0.5000
N: 0.5000 0.5000 0.5000

DOS(E_F) ... 2.6 states/eV/cell
Crystal system ... tetragonal
Formation energy without anion corrections ... 1.631 eV/atom



A plane-wave DFT calculation with GGA-PBEsol was carried out for a relaxed RbMoPO6 crystal.

Cell: 11.0597 12.4614 15.7564 Å, 90.00 90.00 90.00°
Space group Fddd (No. 70, origin choice 2)
Symmetry-distinct sites (fractional):
Rb: 0.0801 0.3750 0.3750
Mo: 0.1250 0.3458 0.6250
P: 0.1250 0.1250 0.4930
O: 0.0317 0.0698 0.4323
O: 0.0629 0.0380 0.7047
O: 0.0720 0.3171 0.1992

DOS(E_F) ... 0.0 states/eV/cell
Crystal system ... orthorhombic
Formation energy without anion corrections ... -2.171 eV/atom



A plane-wave DFT calculation with GGA-PBEsol was carried out for a relaxed LiAl2HgRh crystal.

Cell: 4.6330 4.6330 5.2097 Å, 90.00 90.00 90.00°
Space group P4/mmm (No. 123)
Symmetry-distinct sites (fractional):
Li: 0.0000 0.0000 0.0000
Al: 0.0000 0.5000 0.5000
Hg: 0.5000 0.5000 0.0000
Rh: 0.5000 0.5000 0.5000

DOS(E_F) ... 2.2 states/eV/cell
Formation enthalpy at 0 K ... -0.556 eV per formula unit
Crystal system ... tetragonal



> Which value of DOS(E_F) does entry 1 give?

3.3 states/eV/cell



> The highest DOS(E_F) belongs to which entry?

BeSiPt2



> Number 4 is which compound?

LiAl2HgRh